Material: Nd2Dy3Te8
Method: DFT, GGA-PBE
State: relaxed

**Crystal system**: monoclinic
**E_tot**: -5.012 eV/atom
**ΔE_f (raw)**: -1283 meV/atom

Unit cell a=8.922 b=8.922 c=7.580 alpha=106.11 beta=106.11 gamma=59.00
Sites, in units of the cell vectors:
1 Nd 0.248 0.248 0.169
2 Nd 0.752 0.752 0.831
3 Dy 0.243 0.757 0.500
4 Dy 0.500 0.500 0.000
5 Dy 0.757 0.243 0.500
6 Te 0.118 0.118 0.412
7 Te 0.135 0.629 0.089
8 Te 0.371 0.865 0.911
9 Te 0.382 0.382 0.587
10 Te 0.618 0.618 0.413
11 Te 0.629 0.135 0.089
12 Te 0.865 0.371 0.911
13 Te 0.882 0.882 0.588

Material: Nd6DyTe8
Method: DFT, GGA-PBE
State: relaxed

**Crystal system**: cubic
**E_tot**: -5.337 eV/atom
**ΔE_f (raw)**: -1448 meV/atom

Unit cell a=8.954 b=8.954 c=8.954 alpha=60.00 beta=60.00 gamma=60.00
Sites, in units of the cell vectors:
1 Nd 0.000 0.000 0.500
2 Nd 0.000 0.500 0.000
3 Nd 0.000 0.500 0.500
4 Nd 0.500 0.000 0.000
5 Nd 0.500 0.000 0.500
6 Nd 0.500 0.500 0.000
7 Dy 0.000 0.000 0.000
8 Te 0.249 0.249 0.751
9 Te 0.249 0.751 0.249
10 Te 0.249 0.751 0.751
11 Te 0.250 0.250 0.250
12 Te 0.750 0.750 0.750
13 Te 0.751 0.249 0.249
14 Te 0.751 0.249 0.751
15 Te 0.751 0.751 0.249

Material: NdDyTe
Method: DFT, GGA-PBE
State: relaxed

**Crystal system**: trigonal
**E_tot**: -4.674 eV/atom
**Relative energy among the computed polymorphs**: 0.83 eV/f.u.
**ΔE_f (raw)**: -503 meV/atom

Unit cell a=5.210 b=5.210 c=4.084 alpha=90.00 beta=90.00 gamma=120.00
Sites, in units of the cell vectors:
1 Nd 0.000 0.000 0.000
2 Dy 0.333 0.667 0.488
3 Te 0.667 0.333 0.324

Material: NdDyTe
Method: DFT, GGA-PBE
State: relaxed

**Crystal system**: monoclinic
**E_tot**: -4.938 eV/atom
**Relative energy among the computed polymorphs**: 0.04 eV/f.u.
**ΔE_f (raw)**: -767 meV/atom

Unit cell a=8.658 b=8.658 c=11.245 alpha=93.10 beta=93.10 gamma=27.07
Sites, in units of the cell vectors:
1 Nd 0.025 0.025 0.352
2 Nd 0.386 0.386 0.159
3 Nd 0.614 0.614 0.841
4 Nd 0.975 0.975 0.648
5 Dy 0.192 0.192 0.080
6 Dy 0.251 0.251 0.663
7 Dy 0.749 0.749 0.337
8 Dy 0.808 0.808 0.920
9 Te 0.380 0.380 0.457
10 Te 0.425 0.425 0.842
11 Te 0.575 0.575 0.158
12 Te 0.620 0.620 0.543

Material: NdDyTe2
Method: DFT, GGA-PBE
State: relaxed

**Crystal system**: trigonal
**E_tot**: -5.294 eV/atom
**Relative energy among the computed polymorphs**: 0.00 eV/f.u.
**ΔE_f (raw)**: -1380 meV/atom

Unit cell a=4.300 b=4.300 c=23.071 alpha=90.00 beta=90.00 gamma=120.00
Sites, in units of the cell vectors:
1 Nd 0.000 0.000 0.000
2 Nd 0.333 0.667 0.667
3 Nd 0.667 0.333 0.333
4 Dy 0.000 0.000 0.174
5 Dy 0.333 0.667 0.841
6 Dy 0.667 0.333 0.508
7 Te 0.000 0.000 0.583
8 Te 0.000 0.000 0.758
9 Te 0.333 0.667 0.250
10 Te 0.333 0.667 0.425
11 Te 0.667 0.333 0.091
12 Te 0.667 0.333 0.916

Material: Nd5DyTe6
Method: DFT, GGA-PBE
State: relaxed

**Crystal system**: monoclinic
**E_tot**: -5.343 eV/atom
**ΔE_f (raw)**: -1402 meV/atom

Unit cell a=7.761 b=7.761 c=7.734 alpha=99.60 beta=99.60 gamma=120.08
Sites, in units of the cell vectors:
1 Nd 0.000 0.000 0.000
2 Nd 0.168 0.832 0.500
3 Nd 0.326 0.674 0.000
4 Nd 0.674 0.326 0.000
5 Nd 0.832 0.168 0.500
6 Dy 0.500 0.500 0.500
7 Te 0.095 0.419 0.256
8 Te 0.259 0.259 0.750
9 Te 0.419 0.095 0.256
10 Te 0.581 0.905 0.744
11 Te 0.741 0.741 0.250
12 Te 0.905 0.581 0.744

Material: Nd5Dy3Te8
Method: DFT, GGA-PBE
State: relaxed

**Crystal system**: trigonal
**E_tot**: -5.289 eV/atom
**ΔE_f (raw)**: -1366 meV/atom

Unit cell a=8.942 b=8.942 c=8.942 alpha=59.27 beta=59.27 gamma=59.27
Sites, in units of the cell vectors:
1 Nd 0.000 0.000 0.000
2 Nd 0.000 0.500 0.500
3 Nd 0.500 0.000 0.500
4 Nd 0.500 0.500 0.000
5 Nd 0.500 0.500 0.500
6 Dy 0.000 0.000 0.500
7 Dy 0.000 0.500 0.000
8 Dy 0.500 0.000 0.000
9 Te 0.241 0.750 0.750
10 Te 0.246 0.246 0.246
11 Te 0.250 0.250 0.759
12 Te 0.250 0.759 0.250
13 Te 0.750 0.241 0.750
14 Te 0.750 0.750 0.241
15 Te 0.754 0.754 0.754
16 Te 0.759 0.250 0.250

Material: Nd2Dy3ThTe6
Method: DFT, GGA-PBE
State: relaxed

**Crystal system**: monoclinic
**E_tot**: -5.412 eV/atom
**ΔE_f (raw)**: -1277 meV/atom

Unit cell a=9.979 b=9.979 c=8.971 alpha=105.24 beta=105.24 gamma=25.24
Sites, in units of the cell vectors:
1 Nd 0.162 0.162 0.324
2 Nd 0.838 0.838 0.676
3 Dy 0.167 0.167 0.833
4 Dy 0.500 0.500 0.500
5 Dy 0.833 0.833 0.167
6 Th 0.500 0.500 0.000
7 Te 0.005 0.005 0.743
8 Te 0.330 0.330 0.927
9 Te 0.334 0.334 0.412
10 Te 0.666 0.666 0.588
11 Te 0.670 0.670 0.073
12 Te 0.995 0.995 0.257

Material: Nd3DyTl3Te8
Method: DFT, GGA-PBE
State: relaxed

**Crystal system**: triclinic
**E_tot**: -4.470 eV/atom
**ΔE_f (raw)**: -1061 meV/atom

Unit cell a=9.002 b=9.009 c=9.673 alpha=62.29 beta=62.30 gamma=60.03
Sites, in units of the cell vectors:
1 Nd 0.000 0.000 0.000
2 Nd 0.000 0.500 0.000
3 Nd 0.500 0.000 0.000
4 Dy 0.500 0.500 0.000
5 Tl 0.000 0.500 0.500
6 Tl 0.500 0.000 0.500
7 Tl 0.500 0.500 0.500
8 Te 0.241 0.241 0.776
9 Te 0.246 0.736 0.781
10 Te 0.264 0.264 0.219
11 Te 0.264 0.754 0.218
12 Te 0.736 0.246 0.782
13 Te 0.736 0.736 0.781
14 Te 0.754 0.264 0.219
15 Te 0.759 0.759 0.224

Material: NdDyTlTe
Method: DFT, GGA-PBE
State: relaxed

**Crystal system**: tetragonal
**E_tot**: -4.528 eV/atom
**ΔE_f (raw)**: -809 meV/atom

Unit cell a=4.447 b=4.447 c=6.312 alpha=90.00 beta=90.00 gamma=90.00
Sites, in units of the cell vectors:
1 Nd 0.000 0.000 0.000
2 Dy 0.500 0.500 0.500
3 Tl 0.500 0.500 0.000
4 Te 0.000 0.000 0.500

Material: Nd3DyTl4Te8
Method: DFT, GGA-PBE
State: relaxed

**Crystal system**: trigonal
**E_tot**: -4.412 eV/atom
**ΔE_f (raw)**: -1068 meV/atom

Unit cell a=9.719 b=9.719 c=9.719 alpha=55.70 beta=55.70 gamma=55.70
Sites, in units of the cell vectors:
1 Nd 0.000 0.500 0.500
2 Nd 0.500 0.000 0.500
3 Nd 0.500 0.500 0.000
4 Dy 0.000 0.000 0.000
5 Tl 0.000 0.000 0.500
6 Tl 0.000 0.500 0.000
7 Tl 0.500 0.000 0.000
8 Tl 0.500 0.500 0.500
9 Te 0.236 0.236 0.746
10 Te 0.236 0.746 0.236
11 Te 0.254 0.764 0.764
12 Te 0.259 0.259 0.259
13 Te 0.741 0.741 0.741
14 Te 0.746 0.236 0.236
15 Te 0.764 0.254 0.764
16 Te 0.764 0.764 0.254

Material: Nd3DyTm2Te6
Method: DFT, GGA-PBE
State: relaxed

**Crystal system**: monoclinic
**E_tot**: -5.214 eV/atom
**ΔE_f (raw)**: -1323 meV/atom

Unit cell a=9.939 b=9.939 c=8.965 alpha=105.12 beta=105.12 gamma=25.23
Sites, in units of the cell vectors:
1 Nd 0.000 0.000 0.000
2 Nd 0.335 0.335 0.668
3 Nd 0.665 0.665 0.332
4 Dy 0.000 0.000 0.500
5 Tm 0.334 0.334 0.169
6 Tm 0.666 0.666 0.831
7 Te 0.165 0.165 0.593
8 Te 0.171 0.171 0.073
9 Te 0.496 0.496 0.256
10 Te 0.504 0.504 0.744
11 Te 0.829 0.829 0.927
12 Te 0.835 0.835 0.407

Material: Nd2DyTmTe5
Method: DFT, GGA-PBE
State: relaxed

**Crystal system**: tetragonal
**E_tot**: -4.628 eV/atom
**ΔE_f (raw)**: -814 meV/atom

Unit cell a=5.488 b=5.488 c=11.529 alpha=90.00 beta=90.00 gamma=90.00
Sites, in units of the cell vectors:
1 Nd 0.000 0.000 0.165
2 Nd 0.000 0.000 0.835
3 Dy 0.500 0.500 0.500
4 Tm 0.500 0.500 0.000
5 Te 0.000 0.000 0.500
6 Te 0.000 0.500 0.000
7 Te 0.500 0.000 0.000
8 Te 0.500 0.500 0.253
9 Te 0.500 0.500 0.747

Material: Nd2Dy3TmTe6
Method: DFT, GGA-PBE
State: relaxed

**Crystal system**: monoclinic
**E_tot**: -5.200 eV/atom
**ΔE_f (raw)**: -1311 meV/atom

Unit cell a=9.831 b=9.831 c=8.850 alpha=102.30 beta=102.30 gamma=25.58
Sites, in units of the cell vectors:
1 Nd 0.172 0.172 0.337
2 Nd 0.828 0.828 0.663
3 Dy 0.175 0.175 0.835
4 Dy 0.500 0.500 0.500
5 Dy 0.825 0.825 0.165
6 Tm 0.500 0.500 0.000
7 Te 0.004 0.004 0.756
8 Te 0.339 0.339 0.411
9 Te 0.339 0.339 0.928
10 Te 0.661 0.661 0.072
11 Te 0.661 0.661 0.589
12 Te 0.996 0.996 0.244

Material: NdDy2TmTe6
Method: DFT, GGA-PBE
State: relaxed

**Crystal system**: trigonal
**E_tot**: -5.086 eV/atom
**ΔE_f (raw)**: -1356 meV/atom

Unit cell a=8.343 b=8.343 c=8.343 alpha=55.27 beta=55.27 gamma=55.27
Sites, in units of the cell vectors:
1 Nd 0.000 0.000 0.000
2 Dy 0.310 0.310 0.310
3 Dy 0.813 0.813 0.813
4 Tm 0.497 0.497 0.497
5 Te 0.092 0.706 0.417
6 Te 0.221 0.585 0.902
7 Te 0.417 0.092 0.706
8 Te 0.585 0.902 0.221
9 Te 0.706 0.417 0.092
10 Te 0.902 0.221 0.585

Material: NdDy2YTe6
Method: DFT, GGA-PBE
State: relaxed

**Crystal system**: trigonal
**E_tot**: -5.300 eV/atom
**ΔE_f (raw)**: -1371 meV/atom

Unit cell a=8.367 b=8.367 c=8.367 alpha=55.31 beta=55.31 gamma=55.31
Sites, in units of the cell vectors:
1 Nd 0.000 0.000 0.000
2 Dy 0.310 0.310 0.310
3 Dy 0.812 0.812 0.812
4 Y 0.497 0.497 0.497
5 Te 0.088 0.704 0.418
6 Te 0.216 0.584 0.906
7 Te 0.418 0.088 0.704
8 Te 0.584 0.906 0.216
9 Te 0.704 0.418 0.088
10 Te 0.906 0.216 0.584

Material: Nd3DyY2Te6
Method: DFT, GGA-PBE
State: relaxed

**Crystal system**: monoclinic
**E_tot**: -5.589 eV/atom
**ΔE_f (raw)**: -1366 meV/atom

Unit cell a=9.936 b=9.936 c=8.949 alpha=103.91 beta=103.91 gamma=25.52
Sites, in units of the cell vectors:
1 Nd 0.000 0.000 0.000
2 Nd 0.333 0.333 0.667
3 Nd 0.667 0.667 0.333
4 Dy 0.000 0.000 0.500
5 Y 0.333 0.333 0.166
6 Y 0.667 0.667 0.834
7 Te 0.164 0.164 0.590
8 Te 0.169 0.169 0.077
9 Te 0.498 0.498 0.257
10 Te 0.502 0.502 0.743
11 Te 0.831 0.831 0.923
12 Te 0.836 0.836 0.410

Material: Nd3Dy2YTe6
Method: DFT, GGA-PBE
State: relaxed

**Crystal system**: monoclinic
**E_tot**: -5.429 eV/atom
**ΔE_f (raw)**: -1360 meV/atom

Unit cell a=9.937 b=9.937 c=8.949 alpha=104.00 beta=104.00 gamma=25.50
Sites, in units of the cell vectors:
1 Nd 0.000 0.000 0.000
2 Nd 0.334 0.334 0.667
3 Nd 0.666 0.666 0.333
4 Dy 0.333 0.333 0.167
5 Dy 0.667 0.667 0.833
6 Y 0.000 0.000 0.500
7 Te 0.164 0.164 0.590
8 Te 0.169 0.169 0.077
9 Te 0.497 0.497 0.256
10 Te 0.503 0.503 0.744
11 Te 0.831 0.831 0.923
12 Te 0.836 0.836 0.410

Material: Nd4Dy3YTe8
Method: DFT, GGA-PBE
State: relaxed

**Crystal system**: trigonal
**E_tot**: -5.385 eV/atom
**ΔE_f (raw)**: -1356 meV/atom

Unit cell a=8.947 b=8.947 c=8.947 alpha=58.71 beta=58.71 gamma=58.71
Sites, in units of the cell vectors:
1 Nd 0.000 0.000 0.000
2 Nd 0.000 0.500 0.500
3 Nd 0.500 0.000 0.500
4 Nd 0.500 0.500 0.000
5 Dy 0.000 0.000 0.500
6 Dy 0.000 0.500 0.000
7 Dy 0.500 0.000 0.000
8 Y 0.500 0.500 0.500
9 Te 0.245 0.746 0.746
10 Te 0.246 0.246 0.246
11 Te 0.254 0.254 0.755
12 Te 0.254 0.755 0.254
13 Te 0.746 0.245 0.746
14 Te 0.746 0.746 0.245
15 Te 0.754 0.754 0.754
16 Te 0.755 0.254 0.254

Material: Nd2Dy3YTe6
Method: DFT, GGA-PBE
State: relaxed

**Crystal system**: monoclinic
**E_tot**: -5.389 eV/atom
**ΔE_f (raw)**: -1334 meV/atom

Unit cell a=9.863 b=9.863 c=8.876 alpha=103.28 beta=103.28 gamma=25.61
Sites, in units of the cell vectors:
1 Nd 0.169 0.169 0.337
2 Nd 0.831 0.831 0.663
3 Dy 0.171 0.171 0.834
4 Dy 0.500 0.500 0.500
5 Dy 0.829 0.829 0.166
6 Y 0.500 0.500 0.000
7 Te 0.004 0.004 0.751
8 Te 0.335 0.335 0.926
9 Te 0.337 0.337 0.410
10 Te 0.663 0.663 0.590
11 Te 0.665 0.665 0.074
12 Te 0.996 0.996 0.249